(1)
Cd2AsCl: relaxed, GGA-PBEsol.

Output
Magnetization: 0.0 Bohr magnetons per cell
Uncorrected formation energy: -0.019 eV/atom
DOS(E_F): 1.7 states/eV per cell
Final energy: -9.59 eV for the cell shown
Offset from the most stable computed form: 1.39 eV/f.u.

a = 3.115 Å, b = 3.115 Å, c = 8.870 Å
α = 90.00°, β = 90.00°, γ = 90.00°
Space group P4mm (No. 99)
Asymmetric unit:
1 Cd 0.000 0.000 0.000 [1 per cell]
2 Cd 0.500 0.500 0.252 [1 per cell]
3 As 0.500 0.500 0.775 [1 per cell]
4 Cl 0.000 0.000 0.440 [1 per cell]



(2)
Cd2AsCl: relaxed, GGA-PBEsol.

Output
Magnetization: 0.0 Bohr magnetons per cell
Uncorrected formation energy: -0.032 eV/atom
DOS(E_F): 2.7 states/eV per cell
Final energy: -19.27 eV for the cell shown
Offset from the most stable computed form: 1.34 eV/f.u.

a = 3.955 Å, b = 4.936 Å, c = 8.899 Å
α = 90.00°, β = 90.00°, γ = 90.00°
Space group Cmm2 (No. 35)
Asymmetric unit:
1 Cd 0.000 0.000 0.000 [2 per cell]
2 Cd 0.000 0.500 0.253 [2 per cell]
3 As 0.000 0.500 0.778 [2 per cell]
4 Cl 0.000 0.000 0.445 [2 per cell]



(3)
CdAs4Cl: relaxed, GGA-PBEsol.

Output
Magnetization: 0.0 Bohr magnetons per cell
Uncorrected formation energy: 0.139 eV/atom
DOS(E_F): 6.4 states/eV per cell
Final energy: -91.19 eV for the cell shown

a = 8.150 Å, b = 8.150 Å, c = 8.150 Å
α = 90.00°, β = 90.00°, γ = 90.00°
Space group F-43m (No. 216)
Asymmetric unit:
1 Cd 0.000 0.000 0.000 [4 per cell]
2 As 0.108 0.108 0.608 [16 per cell]
3 Cl 0.250 0.250 0.250 [4 per cell]